[1]
First-principles (PBE-GGA) data for an optimized crystal structure of RbTeP, as listed in Alexandria.

Structure (POSCAR):
```
RbTeP
1.0
-2.868 1.752 3.270
-3.078 0.660 -3.054
-3.964 -9.936 1.846
Te P Rb
2 2 2
direct
0.000 0.000 0.518
0.000 0.500 0.018
0.000 0.000 0.136
0.000 0.500 0.636
0.500 0.000 0.804
0.500 0.500 0.304
```

## Properties
space group	No. 38
total magnetization	0.000	μB/f.u.
offset from the most stable computed form	0.2581	eV/atom



[2]
First-principles (PBE-GGA) data for an optimized crystal structure of MgSiAs2, as listed in Alexandria.

Structure (POSCAR):
```
MgSiAs2
1.0
5.230 0.050 0.006
1.561 4.992 -0.006
-2.782 -3.347 2.900
As Si Mg
2 1 1
direct
0.537 0.537 0.000
0.963 0.963 0.000
0.750 0.250 0.500
0.250 0.750 0.500
```

## Properties
space group	No. 71
total magnetization	0.000	μB/f.u.
offset from the most stable computed form	0.4343	eV/atom



[3]
First-principles (PBE-GGA) data for an optimized crystal structure of Ba2Mn2N, as listed in Alexandria.

Structure (POSCAR):
```
Ba2Mn2N
1.0
6.391 0.000 0.000
0.000 6.391 0.000
0.000 0.000 4.853
Ba Mn N
4 4 2
direct
0.806 0.306 0.500
0.194 0.694 0.500
0.694 0.806 0.500
0.306 0.194 0.500
0.391 0.891 0.000
0.891 0.609 0.000
0.109 0.391 0.000
0.609 0.109 0.000
0.500 0.500 0.000
0.000 0.000 0.000
```

## Properties
space group	No. 127
total magnetization	0.000	μB/f.u.
offset from the most stable computed form	0.6347	eV/atom



[4]
First-principles (PBE-GGA) data for an optimized crystal structure of Tb3AgAu, as listed in Alexandria.

Structure (POSCAR):
```
Tb3AgAu
1.0
7.418 -0.004 -0.003
-0.010 8.958 0.392
-0.010 2.202 8.692
Au Ag Tb
4 4 12
direct
0.750 0.338 0.662
0.750 0.995 0.005
0.250 0.662 0.338
0.250 0.005 0.995
0.749 0.442 0.114
0.751 0.886 0.558
0.249 0.114 0.442
0.251 0.558 0.886
0.499 0.043 0.716
0.501 0.957 0.284
0.501 0.716 0.045
0.001 0.045 0.716
0.999 0.716 0.043
0.001 0.284 0.957
0.499 0.377 0.378
0.999 0.378 0.377
0.999 0.955 0.284
0.001 0.622 0.623
0.499 0.284 0.955
0.501 0.623 0.622
```

## Properties
space group	No. 15
calculated formation energy	-274	meV/atom
total magnetization	0.000	μB/f.u.
offset from the most stable computed form	0.1791	eV/atom



[5]
First-principles (PBE-GGA) data for an optimized crystal structure of SrSiMo2, as listed in Alexandria.

Structure (POSCAR):
```
SrSiMo2
1.0
-4.280 -1.895 -0.539
1.199 -1.459 -4.317
2.651 -1.195 3.708
Si Sr Mo
1 1 2
direct
0.500 0.500 0.000
0.750 0.250 0.500
0.250 0.750 0.500
0.000 0.000 0.000
```

## Properties
space group	No. 119
raw total energy	-26.23	eV per cell
total magnetization	0.000	μB/f.u.



[6]
First-principles (PBE-GGA) data for an optimized crystal structure of Te2RuCl, as listed in Alexandria.

Structure (POSCAR):
```
Te2RuCl
1.0
-3.935 5.662 0.003
-4.426 -3.078 4.298
-1.435 3.198 6.342
Te Cl Ru
4 2 2
direct
0.375 0.302 0.750
0.875 0.948 0.750
0.698 0.125 0.250
0.052 0.625 0.250
0.250 0.750 0.500
0.500 0.500 0.000
0.000 0.000 0.000
0.750 0.250 0.500
```

## Properties
space group	No. 122
total magnetization	0.000	μB/f.u.
offset from the most stable computed form	0.2470	eV/atom



[7]
First-principles (PBE-GGA) data for an optimized crystal structure of SrTe2P, as listed in Alexandria.

Structure (POSCAR):
```
SrTe2P
1.0
-1.752 -5.739 7.693
-3.141 -8.051 4.528
0.910 -8.030 5.466
Te P Sr
2 1 1
direct
0.114 0.114 0.114
0.886 0.886 0.886
0.500 0.500 0.500
0.000 0.000 0.000
```

## Properties
space group	No. 166
total magnetization	0.001	μB/f.u.
offset from the most stable computed form	0.6021	eV/atom



[8]
First-principles (PBE-GGA) data for an optimized crystal structure of SnAsIBr2, as listed in Alexandria.

Structure (POSCAR):
```
SnAsIBr2
1.0
-1.957 1.482 4.794
1.609 -4.688 2.106
5.215 2.411 1.383
Br Sn I As
2 1 1 1
direct
0.000 0.500 0.000
0.500 0.000 0.000
0.000 0.000 0.000
0.500 0.500 0.500
0.000 0.000 0.500
```

## Properties
space group	No. 123
total magnetization	0.976	μB/f.u.
offset from the most stable computed form	0.0000	eV/atom



[9]
First-principles (PBE-GGA) data for an optimized crystal structure of K2Se2Br, as listed in Alexandria.

Structure (POSCAR):
```
K2Se2Br
1.0
8.759 0.000 0.000
0.000 8.759 0.000
0.000 0.000 5.006
K Se Br
4 4 2
direct
0.184 0.316 0.000
0.316 0.816 0.000
0.684 0.184 0.000
0.816 0.684 0.000
0.907 0.407 0.500
0.407 0.093 0.500
0.093 0.593 0.500
0.593 0.907 0.500
0.500 0.500 0.000
0.000 0.000 0.000
```

## Properties
space group	No. 127
raw total energy	-30.95	eV per cell
total magnetization	1.000	μB/f.u.



[10]
First-principles (PBE-GGA) data for an optimized crystal structure of AcTbHo6, as listed in Alexandria.

Structure (POSCAR):
```
AcTbHo6
1.0
5.759 -0.116 1.443
1.662 5.515 1.443
-0.576 -0.419 8.862
Ho Ac Tb
6 1 1
direct
0.480 0.957 0.700
0.043 0.520 0.300
0.378 0.378 0.918
0.520 0.043 0.300
0.622 0.622 0.082
0.957 0.480 0.700
0.000 0.000 0.000
0.500 0.500 0.500
```

## Properties
space group	No. 12
calculated formation energy	405	meV/atom
total magnetization	0.000	μB/f.u.
offset from the most stable computed form	0.3594	eV/atom



[11]
First-principles (PBE-GGA) data for an optimized crystal structure of Ta2ZnAu, as listed in Alexandria.

Structure (POSCAR):
```
Ta2ZnAu
1.0
-1.837 -1.505 1.633
2.094 -0.471 1.922
-2.078 6.802 3.930
Ta Au Zn
2 1 1
direct
0.000 0.000 0.488
0.000 0.000 0.012
0.500 0.500 0.750
0.500 0.500 0.250
```

## Properties
space group	No. 123
calculated formation energy	-15	meV/atom
total magnetization	0.000	μB/f.u.



[12]
First-principles (PBE-GGA) data for an optimized crystal structure of Np2Te2S, as listed in Alexandria.

Structure (POSCAR):
```
Np2Te2S
1.0
4.173 0.000 -1.109
0.000 8.018 0.000
0.132 0.000 8.899
Te Np S
4 4 2
direct
0.802 0.394 0.604
0.947 0.726 0.894
0.198 0.894 0.396
0.053 0.226 0.106
0.820 0.005 0.641
0.180 0.505 0.359
0.451 0.423 0.903
0.549 0.923 0.097
0.596 0.585 0.191
0.404 0.085 0.809
```

## Properties
space group	No. 36
raw total energy	-81.01	eV per cell
total magnetization	0.097	μB/f.u.



[13]
First-principles (PBE-GGA) data for an optimized crystal structure of Ca3Pm2PuN6, as listed in Alexandria.

Structure (POSCAR):
```
Ca3Pm2PuN6
1.0
6.135 -0.004 -0.003
-3.069 5.312 -0.003
-1.025 -1.775 5.730
Pm N Ca Pu
2 6 3 1
direct
0.668 0.332 0.000
0.332 0.668 0.000
0.377 0.075 0.225
0.075 0.377 0.225
0.776 0.776 0.214
0.224 0.224 0.786
0.925 0.623 0.775
0.623 0.925 0.775
0.163 0.837 0.500
0.500 0.500 0.500
0.837 0.163 0.500
0.000 0.000 0.000
```

## Properties
space group	No. 12
raw total energy	-94.10	eV per cell
total magnetization	2.000	μB/f.u.



[14]
First-principles (PBE-GGA) data for an optimized crystal structure of SiTcAs2, as listed in Alexandria.

Structure (POSCAR):
```
SiTcAs2
1.0
-0.876 -2.097 -3.761
2.151 -2.426 -2.966
-1.127 -5.219 2.128
As Si Tc
2 1 1
direct
0.744 0.744 0.682
0.976 0.976 0.064
0.526 0.526 0.427
0.254 0.254 0.327
```

## Properties
space group	No. 8
raw total energy	-25.00	eV per cell
total magnetization	0.000	μB/f.u.



[15]
First-principles (PBE-GGA) data for an optimized crystal structure of Ti6Sb3H, as listed in Alexandria.

Structure (POSCAR):
```
Ti6Sb3H
1.0
4.492 0.000 0.000
0.000 8.722 -0.011
0.000 -1.957 8.499
H Ti Sb
2 12 6
direct
0.561 0.798 0.202
0.061 0.202 0.798
0.164 0.738 0.262
0.664 0.262 0.738
0.657 0.933 0.067
0.660 0.594 0.072
0.158 0.738 0.595
0.157 0.067 0.933
0.660 0.928 0.406
0.658 0.595 0.738
0.158 0.405 0.262
0.658 0.262 0.405
0.160 0.406 0.928
0.160 0.072 0.594
0.660 0.598 0.402
0.160 0.402 0.598
0.154 0.068 0.269
0.654 0.269 0.068
0.154 0.731 0.932
0.654 0.932 0.731
```

## Properties
space group	No. 36
raw total energy	-134.84	eV per cell
total magnetization	0.001	μB/f.u.



[16]
First-principles (PBE-GGA) data for an optimized crystal structure of CuAsC2Br, as listed in Alexandria.

Structure (POSCAR):
```
CuAsC2Br
1.0
-0.998 -3.358 1.519
-1.565 -1.851 -5.120
3.532 -1.322 -0.602
Cu C As Br
1 2 1 1
direct
0.000 0.000 0.000
0.000 0.000 0.500
0.500 0.000 0.000
0.000 0.500 0.000
0.500 0.500 0.500
```

## Properties
space group	No. 123
raw total energy	-18.78	eV per cell
total magnetization	0.001	μB/f.u.



[17]
First-principles (PBE-GGA) data for an optimized crystal structure of Re2Br2F, as listed in Alexandria.

Structure (POSCAR):
```
Re2Br2F
1.0
3.893 0.000 0.000
0.000 3.893 0.000
1.946 1.946 6.502
Br Re F
2 2 1
direct
0.373 0.373 0.254
0.627 0.627 0.746
0.250 0.750 0.500
0.750 0.250 0.500
0.000 0.000 0.000
```

## Properties
space group	No. 139
total magnetization	0.000	μB/f.u.
offset from the most stable computed form	0.0000	eV/atom



[18]
First-principles (PBE-GGA) data for an optimized crystal structure of Co8NiH4, as listed in Alexandria.

Structure (POSCAR):
```
Co8NiH4
1.0
2.502 0.000 0.542
1.112 6.203 0.911
-0.160 0.113 6.783
Co H Ni
8 4 1
direct
0.217 0.676 0.891
0.852 0.003 0.293
0.478 0.334 0.709
0.143 0.340 0.374
0.553 0.670 0.224
0.888 0.664 0.559
0.815 0.327 0.043
0.179 0.001 0.641
0.368 0.834 0.430
0.849 0.502 0.800
0.663 0.169 0.504
0.182 0.501 0.134
0.516 0.002 0.967
```

## Properties
space group	No. 12
raw total energy	-75.87	eV per cell
total magnetization	12.287	μB/f.u.



[19]
First-principles (PBE-GGA) data for an optimized crystal structure of Ba4Pa3CuN8, as listed in Alexandria.

Structure (POSCAR):
```
Ba4Pa3CuN8
1.0
-5.325 1.425 4.738
-3.794 -6.122 -2.423
6.852 -0.847 2.381
Ba Pa N Cu
4 3 8 1
direct
0.000 0.000 0.500
0.000 0.000 0.000
0.500 0.000 0.500
0.500 0.000 0.000
0.500 0.500 0.000
0.500 0.500 0.500
0.000 0.500 0.500
0.246 0.686 0.940
0.271 0.312 0.541
0.754 0.314 0.060
0.306 0.314 0.060
0.249 0.687 0.497
0.729 0.688 0.459
0.694 0.686 0.940
0.751 0.313 0.503
0.000 0.500 0.000
```

## Properties
space group	No. 12
raw total energy	-121.00	eV per cell
total magnetization	0.000	μB/f.u.



[20]
First-principles (PBE-GGA) data for an optimized crystal structure of Li3TlCr, as listed in Alexandria.

Structure (POSCAR):
```
Li3TlCr
1.0
-0.931 4.633 -1.697
-4.016 0.291 2.999
2.865 1.913 3.652
Li Tl Cr
3 1 1
direct
0.500 0.000 0.000
0.000 0.500 0.000
0.000 0.000 0.500
0.000 0.000 0.000
0.500 0.500 0.500
```

## Properties
space group	No. 221
calculated formation energy	604	meV/atom
total magnetization	4.150	μB/f.u.
offset from the most stable computed form	0.0000	eV/atom



[21]
First-principles (PBE-GGA) data for an optimized crystal structure of LiSm2ThS5, as listed in Alexandria.

Structure (POSCAR):
```
LiSm2ThS5
1.0
-0.986 2.121 -3.177
6.559 -4.738 -2.748
-7.682 -8.664 -3.400
S Th Li Sm
10 2 2 4
direct
0.708 0.417 0.168
0.689 0.379 0.836
0.958 0.915 0.571
0.362 0.724 0.001
0.042 0.085 0.071
0.638 0.276 0.501
0.292 0.583 0.668
0.500 0.000 0.285
0.311 0.621 0.336
0.500 0.000 0.785
0.805 0.610 0.501
0.195 0.390 0.001
0.508 0.016 0.979
0.492 0.984 0.479
0.123 0.246 0.296
0.889 0.778 0.187
0.111 0.222 0.687
0.877 0.754 0.796
```

## Properties
space group	No. 36
raw total energy	-111.91	eV per cell
total magnetization	0.000	μB/f.u.



[22]
First-principles (PBE-GGA) data for an optimized crystal structure of ErPt4Rh, as listed in Alexandria.

Structure (POSCAR):
```
ErPt4Rh
1.0
-0.876 5.225 0.041
-4.481 1.918 2.076
0.130 2.672 4.573
Pt Rh Er
4 1 1
direct
0.624 0.624 0.624
0.127 0.624 0.624
0.624 0.624 0.127
0.624 0.127 0.624
0.250 0.250 0.250
0.000 0.000 0.000
```

## Properties
space group	No. 216
calculated formation energy	-535	meV/atom
total magnetization	0.696	μB/f.u.



[23]
First-principles (PBE-GGA) data for an optimized crystal structure of Cs5BiH, as listed in Alexandria.

Structure (POSCAR):
```
Cs5BiH
1.0
9.543 0.327 -0.178
3.337 8.947 -0.178
4.401 3.168 11.352
Cs Bi H
10 2 2
direct
0.675 0.280 0.969
0.804 0.714 0.125
0.935 0.065 0.250
0.196 0.286 0.875
0.720 0.325 0.531
0.714 0.804 0.625
0.280 0.675 0.469
0.325 0.720 0.031
0.065 0.935 0.750
0.286 0.196 0.375
0.581 0.419 0.250
0.419 0.581 0.750
0.000 0.000 0.000
0.000 0.000 0.500
```

## Properties
space group	No. 15
raw total energy	-25.58	eV per cell
total magnetization	0.001	μB/f.u.